[1]
PBE LuS2I2, optimized geometry; crystal system = triclinic; E_tot = -0.154 Ha/atom; space-group type = No. 2
1.0
7.777 0.000 0.000
-3.849 6.758 0.000
-1.273 -2.296 7.825
Lu S I
2 4 4
direct
0.164 0.336 0.000
0.836 0.664 0.000
0.090 0.591 0.218
0.230 0.731 0.054
0.770 0.269 0.946
0.910 0.409 0.782
0.018 0.074 0.247
0.428 0.480 0.753
0.572 0.520 0.247
0.982 0.926 0.753

---

[2]
PBE LuTeI7, optimized geometry; crystal system = monoclinic; E_tot = -0.097 Ha/atom; space-group type = No. 7
1.0
7.694 0.000 0.000
0.000 7.543 0.000
-3.774 0.000 16.243
Lu Te I
2 2 14
direct
0.000 0.003 0.000
0.000 0.997 0.500
0.293 0.406 0.655
0.293 0.594 0.155
0.187 0.382 0.271
0.187 0.618 0.771
0.344 0.133 0.501
0.344 0.867 0.001
0.503 0.167 0.764
0.503 0.833 0.264
0.567 0.390 0.122
0.567 0.610 0.622
0.761 0.154 0.365
0.761 0.846 0.865
0.940 0.137 0.649
0.940 0.863 0.149
0.975 0.375 0.994
0.975 0.625 0.494

---

[3]
PBE Mg3MoI, optimized geometry; crystal system = cubic; E_tot = -0.075 Ha/atom; space-group type = No. 221
1.0
5.466 0.000 0.000
0.000 5.466 0.000
0.000 0.000 5.466
Mg Mo I
3 1 1
direct
0.000 0.000 0.500
0.000 0.500 0.000
0.500 0.000 0.000
0.500 0.500 0.500
0.000 0.000 0.000

---

[4]
PBE Mg3NbI5, optimized geometry; crystal system = hexagonal; E_tot = -0.096 Ha/atom; space-group type = No. 189
1.0
9.195 0.000 0.000
-4.598 7.963 0.000
0.000 0.000 3.980
Mg Nb I
3 1 5
direct
0.000 0.662 0.000
0.338 0.338 0.000
0.662 0.000 0.000
0.000 0.000 0.000
0.000 0.230 0.500
0.230 0.000 0.500
0.333 0.667 0.500
0.667 0.333 0.500
0.770 0.770 0.500

---

[5]
PBE MgPaI6, optimized geometry; crystal system = trigonal; E_tot = -0.127 Ha/atom; space-group type = No. 148
1.0
3.786 2.186 6.852
-3.786 2.186 6.852
0.000 -4.371 6.852
Mg Pa I
1 1 6
direct
0.000 0.000 0.000
0.500 0.500 0.500
0.096 0.753 0.397
0.247 0.603 0.904
0.397 0.096 0.753
0.603 0.904 0.247
0.753 0.397 0.096
0.904 0.247 0.603

---

[6]
PBE SmMgI4, optimized geometry; crystal system = monoclinic; E_tot = -0.117 Ha/atom; space-group type = No. 10
1.0
7.864 0.000 0.000
0.000 4.131 0.000
-2.401 0.000 7.612
Sm Mg I
1 1 4
direct
0.000 0.000 0.000
0.500 0.500 0.000
0.270 0.500 0.240
0.272 0.000 0.780
0.728 0.000 0.220
0.730 0.500 0.760

---

[7]
PBE NdSbMoI2, optimized geometry; crystal system = trigonal; E_tot = -0.186 Ha/atom; space-group type = No. 156
1.0
4.299 0.000 0.000
-2.150 3.723 0.000
0.000 0.000 10.484
Nd Sb Mo I
1 1 1 2
direct
0.000 0.000 0.000
0.333 0.667 0.826
0.667 0.333 0.716
0.000 0.000 0.555
0.667 0.333 0.198

---

[8]
PBE Mo2PtI2, optimized geometry; crystal system = triclinic; E_tot = -0.204 Ha/atom; space-group type = No. 2
1.0
3.330 0.000 0.000
-1.658 5.365 0.000
-0.006 -0.418 6.025
Mo Pt I
2 1 2
direct
0.068 0.136 0.351
0.932 0.864 0.649
0.500 0.000 0.000
0.222 0.444 0.737
0.778 0.556 0.263

---

[9]
PBE SbMoI6, optimized geometry; crystal system = monoclinic; E_tot = -0.114 Ha/atom; space-group type = No. 12
1.0
7.926 -6.878 0.000
7.926 6.878 0.000
-2.299 0.000 7.317
Sb Mo I
2 2 12
direct
0.192 0.808 0.000
0.808 0.192 0.000
0.215 0.215 0.334
0.785 0.785 0.666
0.026 0.719 0.600
0.137 0.137 0.963
0.219 0.570 0.114
0.281 0.974 0.400
0.367 0.367 0.593
0.430 0.781 0.886
0.570 0.219 0.114
0.633 0.633 0.407
0.719 0.026 0.600
0.781 0.430 0.886
0.863 0.863 0.037
0.974 0.281 0.400

---

[10]
PBE TbSbMoI2, optimized geometry; crystal system = trigonal; E_tot = -0.184 Ha/atom; space-group type = No. 156
1.0
4.250 0.000 0.000
-2.125 3.680 0.000
0.000 0.000 10.281
Tb Sb Mo I
1 1 1 2
direct
0.000 0.000 0.000
0.667 0.333 0.168
0.333 0.667 0.284
0.000 0.000 0.448
0.333 0.667 0.806

---

[11]
PBE TeMoSe3I, optimized geometry; E above lowest polymorph = 0.031 eV/atom; crystal system = triclinic; E_tot = -0.170 Ha/atom; space-group type = No. 2
1.0
6.597 0.000 0.000
-2.049 7.975 0.000
-3.294 -3.151 7.332
Te Mo Se I
2 2 6 2
direct
0.191 0.261 0.222
0.809 0.739 0.778
0.283 0.001 0.000
0.717 0.999 0.000
0.008 0.827 0.123
0.323 0.899 0.709
0.357 0.710 0.896
0.643 0.290 0.104
0.677 0.101 0.291
0.992 0.173 0.877
0.378 0.227 0.613
0.622 0.773 0.387

---

[12]
PBE TeMoSe3I, optimized geometry; E above lowest polymorph = 0.027 eV/atom; crystal system = triclinic; E_tot = -0.171 Ha/atom; space-group type = No. 2
1.0
6.569 0.000 0.000
-0.966 7.948 0.000
-3.275 -2.398 7.256
Te Mo Se I
2 2 6 2
direct
0.143 0.289 0.204
0.857 0.711 0.796
0.223 0.001 0.001
0.777 0.999 0.999
0.058 0.831 0.166
0.349 0.904 0.726
0.432 0.746 0.940
0.568 0.254 0.060
0.651 0.096 0.274
0.942 0.169 0.834
0.336 0.276 0.597
0.664 0.724 0.403

---

[13]
PBE TeMoSe3I, optimized geometry; E above lowest polymorph = 0.000 eV/atom; crystal system = triclinic; E_tot = -0.172 Ha/atom; space-group type = No. 2
1.0
6.575 0.000 0.000
-1.217 8.019 0.000
-2.070 -3.932 7.115
Te Mo Se I
2 2 6 2
direct
0.124 0.149 0.306
0.876 0.851 0.694
0.282 0.000 0.000
0.718 0.000 0.000
0.019 0.204 0.940
0.394 0.697 0.842
0.462 0.116 0.813
0.538 0.884 0.187
0.606 0.303 0.158
0.981 0.796 0.060
0.245 0.604 0.424
0.755 0.396 0.576

---

[14]
PBE SmMoI4, optimized geometry; crystal system = monoclinic; E_tot = -0.153 Ha/atom; space-group type = No. 10
1.0
6.734 0.000 0.000
0.000 4.157 0.000
-2.420 0.000 7.642
Sm Mo I
1 1 4
direct
0.000 0.000 0.000
0.500 0.500 0.000
0.271 0.500 0.255
0.285 0.000 0.769
0.715 0.000 0.231
0.729 0.500 0.745

---

[15]
PBE TeMoI, optimized geometry; crystal system = monoclinic; E_tot = -0.190 Ha/atom; space-group type = No. 14
1.0
8.493 0.000 0.000
0.000 5.818 0.000
-1.673 0.000 7.689
Te Mo I
4 4 4
direct
0.135 0.200 0.370
0.135 0.300 0.870
0.865 0.700 0.130
0.865 0.800 0.630
0.082 0.651 0.444
0.082 0.849 0.944
0.918 0.151 0.056
0.918 0.349 0.556
0.328 0.726 0.229
0.328 0.774 0.729
0.672 0.226 0.271
0.672 0.274 0.771

---

[16]
PBE Te10Mo3I10, optimized geometry; crystal system = triclinic; E_tot = -0.135 Ha/atom; space-group type = No. 2
1.0
11.120 0.000 0.000
4.339 10.249 0.000
4.362 0.026 17.580
Te Mo I
20 6 20
direct
0.037 0.250 0.359
0.107 0.462 0.321
0.163 0.466 0.129
0.222 0.989 0.218
0.315 0.065 0.854
0.325 0.972 0.397
0.379 0.074 0.101
0.424 0.346 0.426
0.442 0.264 0.225
0.449 0.971 0.630
0.551 0.029 0.370
0.558 0.736 0.775
0.576 0.654 0.574
0.621 0.926 0.899
0.675 0.028 0.603
0.685 0.935 0.146
0.778 0.011 0.782
0.837 0.534 0.871
0.893 0.538 0.679
0.963 0.750 0.641
0.212 0.243 0.221
0.295 0.227 0.360
0.437 0.024 0.249
0.563 0.976 0.751
0.705 0.773 0.640
0.788 0.757 0.779
0.019 0.683 0.847
0.045 0.947 0.384
0.109 0.117 0.777
0.194 0.280 0.523
0.274 0.854 0.944
0.279 0.618 0.425
0.293 0.394 0.977
0.323 0.604 0.151
0.339 0.652 0.680
0.426 0.260 0.767
0.574 0.740 0.233
0.661 0.348 0.320
0.677 0.396 0.849
0.707 0.606 0.023
0.721 0.382 0.575
0.726 0.146 0.056
0.806 0.720 0.477
0.891 0.883 0.223
0.955 0.053 0.616
0.981 0.317 0.153

---

[17]
PBE Tl2MoI2, optimized geometry; crystal system = triclinic; E_tot = -0.127 Ha/atom; space-group type = No. 1
1.0
3.692 0.000 0.000
-0.024 6.819 0.000
-1.844 -1.515 6.459
Tl Mo I
2 1 2
direct
0.000 0.000 0.000
0.325 0.659 0.654
0.662 0.828 0.325
0.060 0.536 0.126
0.264 0.120 0.526

---

[18]
PBE ZnMoI3, optimized geometry; crystal system = cubic; E_tot = -0.111 Ha/atom; space-group type = No. 221
1.0
5.654 0.000 0.000
0.000 5.654 0.000
0.000 0.000 5.654
Zn Mo I
1 1 3
direct
0.000 0.000 0.000
0.500 0.500 0.500
0.000 0.500 0.500
0.500 0.000 0.500
0.500 0.500 0.000

---

[19]
PBE NaNd4I7N2, optimized geometry; crystal system = orthorhombic; E_tot = -0.179 Ha/atom; space-group type = No. 33
1.0
14.291 0.000 0.000
0.000 11.054 0.000
0.000 0.000 12.064
Na Nd I N
4 16 28 8
direct
0.096 0.048 0.000
0.404 0.548 0.500
0.596 0.452 0.000
0.904 0.952 0.500
0.084 0.375 0.332
0.086 0.623 0.567
0.088 0.395 0.810
0.102 0.586 0.073
0.398 0.086 0.573
0.412 0.895 0.310
0.414 0.123 0.067
0.416 0.875 0.832
0.584 0.125 0.332
0.586 0.877 0.567
0.588 0.105 0.810
0.602 0.914 0.073
0.898 0.414 0.573
0.912 0.605 0.310
0.914 0.377 0.067
0.916 0.625 0.832
0.015 0.850 0.709
0.025 0.187 0.541
0.050 0.820 0.362
0.206 0.312 0.045
0.226 0.633 0.845
0.233 0.405 0.586
0.249 0.567 0.286
0.251 0.067 0.786
0.267 0.905 0.086
0.274 0.133 0.345
0.294 0.812 0.545
0.450 0.320 0.862
0.475 0.687 0.041
0.485 0.350 0.209
0.515 0.650 0.709
0.525 0.313 0.541
0.550 0.680 0.362
0.706 0.188 0.045
0.726 0.867 0.845
0.733 0.095 0.586
0.749 0.933 0.286
0.751 0.433 0.786
0.767 0.595 0.086
0.774 0.367 0.345
0.794 0.688 0.545
0.950 0.180 0.862
0.975 0.813 0.041
0.985 0.150 0.209
0.003 0.485 0.196
0.003 0.495 0.945
0.497 0.985 0.696
0.497 0.995 0.445
0.503 0.005 0.945
0.503 0.015 0.196
0.997 0.505 0.445
0.997 0.515 0.696